1.
{
  "formula": "SrHoReN4",
  "functional": "PBE-GGA",
  "state": "optimized geometry",
  "final_energy_ev_per_cell": -116.42,
  "magmom_total_mub_per_cell": 0.00,
  "spacegroup": "No. 11",
  "dos_at_fermi_per_ev_cell": 0.00,
  "formation_energy_uncorrected_ev_per_atom": -0.8855,
  "lattice_angstrom": [[5.8679, 0.0000, 0.1223], [0.0000, 5.9424, 0.0000], [-2.1555, 0.0000, 6.7069]],
  "species": ["Sr", "Sr", "Ho", "Ho", "Re", "Re", "N", "N", "N", "N", "N", "N", "N", "N"],
  "frac_coords": [[0.7243, 0.7500, 0.9315], [0.2757, 0.2500, 0.0685], [0.8054, 0.7500, 0.4607], [0.1946, 0.2500, 0.5393], [0.2611, 0.7500, 0.3251], [0.7389, 0.2500, 0.6749], [0.9475, 0.4911, 0.7124], [0.0525, 0.9911, 0.2876], [0.0525, 0.5089, 0.2876], [0.9475, 0.0089, 0.7124], [0.4611, 0.7500, 0.1682], [0.5389, 0.2500, 0.8318], [0.4536, 0.7500, 0.5742], [0.5464, 0.2500, 0.4258]]
}

=====

2.
{
  "formula": "Nd3CoCu",
  "functional": "PBE-GGA",
  "state": "optimized geometry",
  "final_energy_ev_per_cell": -51.77,
  "magmom_total_mub_per_cell": 0.24,
  "spacegroup": "No. 12",
  "dos_at_fermi_per_ev_cell": 12.81,
  "relative_energy_ev_per_atom": 0.0022,
  "e_form_ev_per_atom": -0.076,
  "lattice_angstrom": [[-3.5389, -0.9011, -1.1780], [1.7490, -5.9255, 5.5230], [-3.2017, 4.0344, 6.5419]],
  "species": ["Nd", "Nd", "Nd", "Nd", "Nd", "Nd", "Co", "Co", "Cu", "Cu"],
  "frac_coords": [[0.0825, 0.1986, 0.3949], [0.4220, 0.8768, 0.6595], [0.6218, 0.2770, 0.7620], [0.9615, 0.9555, 0.0267], [0.2555, 0.5445, 0.0165], [0.7884, 0.6096, 0.4051], [0.2436, 0.5202, 0.6529], [0.8001, 0.6337, 0.7687], [0.4421, 0.9153, 0.2907], [0.6022, 0.2391, 0.1308]]
}

=====

3.
{
  "formula": "LaEuAu",
  "functional": "PBE-GGA",
  "state": "optimized geometry",
  "final_energy_ev_per_cell": -20.00,
  "magmom_total_mub_per_cell": 7.71,
  "spacegroup": "No. 107",
  "dos_at_fermi_per_ev_cell": 2.87,
  "relative_energy_ev_per_atom": 0.0000,
  "e_form_ev_per_atom": -0.507,
  "lattice_angstrom": [[3.8047, 0.0000, 0.0000], [0.0000, 3.8047, 0.0000], [-1.9024, -1.9024, 6.5517]],
  "species": ["Eu", "Au", "La"],
  "frac_coords": [[0.0284, 0.0284, 0.0567], [0.6709, 0.6709, 0.3418], [0.3008, 0.3008, 0.6015]]
}